(1)
Here is an optimized crystal structure of K3Li2AuF9 from Alexandria via LeMat-Bulk. Energies are from PBE-GGA.

Cell: 5.863 5.863 7.458 Å, 90.00 90.00 120.00°
Positions (direct):
K 0.333 0.667 0.709
K 0.000 0.000 0.000
K 0.667 0.333 0.291
Li 0.333 0.667 0.109
Li 0.667 0.333 0.891
Au 0.000 0.000 0.500
F 0.836 0.164 0.659
F 0.836 0.672 0.659
F 0.328 0.164 0.659
F 0.672 0.836 0.341
F 0.164 0.328 0.341
F 0.164 0.836 0.341
F 0.500 0.000 0.000
F 0.000 0.500 0.000
F 0.500 0.500 0.000

- Energy: -4.0523 eV per atom
- Formation energy (no corrections): -2.236 eV per atom
- SG: P-3m1, No. 164
- Theoretical density: 3.7 g/cm³

=====

(2)
Here is an optimized crystal structure of K2MoOs from Alexandria via LeMat-Bulk. Energies are from PBE-GGA.

Cell: 12.392 12.392 9.073 Å, 46.92 46.92 90.00°
Positions (direct):
Mo 0.500 0.500 0.000
Mo 0.250 0.750 0.500
Os 0.000 0.000 0.000
Os 0.750 0.250 0.500
K 0.790 0.125 0.250
K 0.960 0.625 0.250
K 0.375 0.210 0.750
K 0.875 0.040 0.750

- Energy relative to the elements: 36.62 kcal/mol of atoms
- Energy: -4.4759 eV per atom
- SG: I-42d, No. 122
- Theoretical density: 3.4 g/cm³

=====

(3)
Here is an optimized crystal structure of ThZn6Pd2 from Alexandria via LeMat-Bulk. Energies are from PBE-GGA.

Cell: 3.961 7.198 7.198 Å, 55.76 74.11 74.11°
Positions (direct):
Th 0.000 0.000 0.000
Zn 0.309 0.990 0.391
Zn 0.691 0.010 0.609
Zn 0.691 0.609 0.010
Zn 0.500 0.327 0.673
Zn 0.500 0.673 0.327
Zn 0.309 0.391 0.990
Pd 0.123 0.378 0.378
Pd 0.877 0.622 0.622

- Energy relative to the elements: -5.67 kcal/mol of atoms
- Energy: -3.0737 eV per atom
- SG: C2/m, No. 12
- Theoretical density: 8.6 g/cm³